Density functional theory data (PBE-GGA) for an optimized crystal structure of Ba3MgTl4.

Computed properties:
D(E_F) in states/eV/cell: 5.0
Energy of formation from the pure elements in kJ/mol of atoms: -29.3
Total moment in μB/f.u.: 0.00

Cell: 4.1070 4.1070 16.8837 Å, 90.00 90.00 90.00°
Last column: nearest neighbours and their distance in Å.
Space group P4/mmm (No. 123)
Symmetry-distinct sites (fractional):
Ba (0.0000, 0.0000, 0.0000) (multiplicity 1)  8 Tl 3.63
Ba (0.0000, 0.0000, 0.2652) (multiplicity 2)  8 Tl 3.71-3.74, 1 Mg 3.96, 4 Ba 4.11
Mg (0.0000, 0.0000, 0.5000) (multiplicity 1)  8 Tl 3.32
Tl (0.5000, 0.5000, 0.1286) (multiplicity 2)  8 Ba 3.63-3.71
Tl (0.5000, 0.5000, 0.4046) (multiplicity 2)  1 Tl 3.22, 4 Mg 3.32

Density functional theory data (PBE-GGA) for an optimized crystal structure of Tb2Er3Hg2.

Computed properties:
D(E_F) in states/eV/cell: 15.5
Energy of formation from the pure elements in kJ/mol of atoms: -23.0
Total moment in μB/f.u.: 0.00

Cell: 9.2399 5.3264 8.4649 Å, 90.00 111.22 90.00°
Last column: nearest neighbours and their distance in Å.
Space group C2/m (No. 12)
Symmetry-distinct sites (fractional):
Tb (0.0752, 0.0000, 0.2264) (multiplicity 4)  4 Hg 3.25-3.28, 3 Er 3.45, 1 Tb 3.57
Er (0.0000, 0.5000, 0.5000) (multiplicity 2)  6 Hg 3.27
Er (0.1573, 0.5000, 0.9720) (multiplicity 4)  1 Hg 3.05, 3 Er 3.11
Hg (0.2140, 0.0000, 0.6418) (multiplicity 4)  4 Er 3.05-3.27, 4 Tb 3.25-3.28

Density functional theory data (PBE-GGA) for an optimized crystal structure of Ba8Pd3AuBr4.

Computed properties:
D(E_F) in states/eV/cell: 31.7
Total moment in μB/f.u.: 0.00

Cell: 9.2208 9.2208 25.3115 Å, 90.00 90.00 120.00°
Last column: nearest neighbours and their distance in Å.
Space group R-3m (No. 166, hexagonal axes)
Symmetry-distinct sites (fractional):
Ba (0.0000, 0.0000, 0.2382) (multiplicity 6)  3 Pd 3.22, 3 Br 3.59
Ba (0.0053, 0.5026, 0.7607) (multiplicity 18)  2 Pd 3.22, 1 Au 3.27, 3 Br 3.54-3.59
Pd (0.0000, 0.5000, 0.5000) (multiplicity 9)  6 Ba 3.22
Au (0.0000, 0.0000, 0.5000) (multiplicity 3)  6 Ba 3.27
Br (0.0000, 0.0000, 0.0000) (multiplicity 3)  6 Ba 3.54
Br (0.0000, 0.5000, 0.0000) (multiplicity 9)  6 Ba 3.59

Density functional theory data (PBE-GGA) for an optimized crystal structure of ZnCo3Ir.

Computed properties:
Distance to the lowest polymorph of the same formula in meV/atom: 52
D(E_F) in states/eV/cell: 7.7
Energy of formation from the pure elements in kJ/mol of atoms: 131.5
Total moment in μB/f.u.: 5.89

Cell: 4.2169 4.2169 4.2169 Å, 90.00 90.00 90.00°
Last column: nearest neighbours and their distance in Å.
Space group Pm-3m (No. 221)
Symmetry-distinct sites (fractional):
Zn (0.0000, 0.0000, 0.0000) (multiplicity 1)  6 Co 2.11
Co (0.0000, 0.0000, 0.5000) (multiplicity 3)  2 Zn 2.11
Ir (0.5000, 0.5000, 0.5000) (multiplicity 1)  12 Co 2.98

Density functional theory data (PBE-GGA) for an optimized crystal structure of MnNiP2N.

Computed properties:
D(E_F) in states/eV/cell: 5.3
Total moment in μB/f.u.: 2.99

Cell: 4.1467 4.1467 4.5857 Å, 90.00 90.00 90.00°
Last column: nearest neighbours and their distance in Å.
Space group P4/mmm (No. 123)
Symmetry-distinct sites (fractional):
Mn (0.0000, 0.0000, 0.0000) (multiplicity 1)  4 P 2.07, 2 Ni 2.29
Ni (0.0000, 0.0000, 0.5000) (multiplicity 1)  2 Mn 2.29
P (0.0000, 0.5000, 0.0000) (multiplicity 2)  2 Mn 2.07
N (0.5000, 0.5000, 0.5000) (multiplicity 1)  4 Ni 2.93, 8 P 3.09

Density functional theory data (PBE-GGA) for an optimized crystal structure of MgAsSe2N.

Computed properties:
Distance to the lowest polymorph of the same formula in meV/atom: 339
D(E_F) in states/eV/cell: 3.2
Total moment in μB/f.u.: 2.13

Cell: 5.1351 5.1351 3.9336 Å, 90.00 90.00 90.00°
Last column: nearest neighbours and their distance in Å.
Space group P4/mmm (No. 123)
Symmetry-distinct sites (fractional):
Mg (0.0000, 0.0000, 0.0000) (multiplicity 1)  2 N 1.97
As (0.5000, 0.5000, 0.5000) (multiplicity 1)  8 Se 3.23
Se (0.0000, 0.5000, 0.0000) (multiplicity 2)  2 Mg 2.57
N (0.0000, 0.0000, 0.5000) (multiplicity 1)  2 Mg 1.97

no.,final energy (eV/atom)
1,-2.407
2,-3.603
3,-3.698
4,-4.927
5,-5.349
6,-3.560